Record 1
Computed, not measured: a relaxed Cs5S2F crystal at the PBE level of DFT.

Structure (extended XYZ):
```
16
Lattice="9.241 -4.046 0.000 9.241 4.046 0.000 -0.602 0.000 8.556" Properties=species:S:1:pos:R:3 pbc="T T T"
Cs 8.790 3.652 6.417
Cs 3.959 0.481 2.661
Cs 7.498 1.135 0.553
Cs 3.658 -0.481 6.939
Cs 10.683 1.135 3.726
Cs 7.197 -1.135 4.831
Cs 14.222 0.481 1.617
Cs 10.382 -1.135 8.004
Cs 13.921 -0.481 5.895
Cs 9.091 -3.652 2.139
S 7.050 2.138 3.823
S 11.131 2.138 0.455
S 6.750 -2.138 8.101
S 10.830 -2.138 4.733
F 4.621 2.023 0.000
F 4.320 -2.023 4.278
```

Results
Symmetry   C2/c, No. 15
ΔE_f (raw)   -1.40 eV/atom
Uncorrected energy   -0.118 hartree per atom

=====

Record 2
Computed, not measured: a relaxed Nd2Hg6Pb crystal at the PBE level of DFT.

Structure (extended XYZ):
```
9
Lattice="7.648 -4.416 0.000 7.648 4.416 0.000 -0.007 0.000 3.496" Properties=species:S:1:pos:R:3 pbc="T T T"
Nd 2.548 0.000 0.002
Nd 12.741 0.000 3.494
Hg 5.099 1.469 1.751
Hg 7.645 2.938 1.748
Hg 5.099 -1.469 1.751
Hg 10.190 1.469 1.745
Hg 7.645 -2.938 1.748
Hg 10.190 -1.469 1.745
Pb 7.648 0.000 0.000
```

Results
Symmetry   C2/m, No. 12
Energy above the most stable polymorph in this dataset   0.000 eV per atom
Uncorrected energy   -0.072 hartree per atom

=====

Record 3
Computed, not measured: a relaxed Er2IrRh crystal at the PBE level of DFT.

Structure (extended XYZ):
```
4
Lattice="0.000 3.394 3.394 3.394 0.000 3.394 3.394 3.394 0.000" Properties=species:S:1:pos:R:3 pbc="T T T"
Er 1.697 1.697 1.697
Er 5.091 5.091 5.091
Ir 0.000 0.000 0.000
Rh 3.394 3.394 3.394
```

Results
Symmetry   Fm-3m, No. 225
Energy above the most stable polymorph in this dataset   0.000 eV per atom
Uncorrected energy   -0.267 hartree per atom

=====

Record 4
Computed, not measured: a relaxed SmDySc2 crystal at the PBE level of DFT.

Structure (extended XYZ):
```
4
Lattice="0.000 3.843 3.843 3.843 0.000 3.843 3.843 3.843 0.000" Properties=species:S:1:pos:R:3 pbc="T T T"
Sm 0.000 0.000 0.000
Dy 3.843 3.843 3.843
Sc 1.921 1.921 1.921
Sc 5.764 5.764 5.764
```

Results
Symmetry   Fm-3m, No. 225
Energy above the most stable polymorph in this dataset   0.033 eV per atom
Uncorrected energy   -0.199 hartree per atom

=====

Record 5
Computed, not measured: a relaxed Li6GeAu3 crystal at the PBE level of DFT.

Structure (extended XYZ):
```
20
Lattice="7.285 0.000 0.000 0.000 4.628 0.000 -3.494 0.000 9.294" Properties=species:S:1:pos:R:3 pbc="T T T"
Li -0.121 1.157 2.034
Li -1.251 3.471 5.380
Li 2.018 1.157 0.279
Li -0.882 3.471 8.155
Li 0.961 3.471 3.416
Li 0.386 1.157 5.005
Li 3.404 3.471 4.289
Li 2.830 1.157 5.879
Li 4.673 1.157 1.139
Li 1.772 3.471 9.015
Li 5.041 1.157 3.915
Li 3.911 3.471 7.260
Ge -1.894 1.157 6.707
Ge 5.685 3.471 2.587
Au 0.479 3.471 0.786
Au 0.576 1.157 7.731
Au 2.421 1.157 3.148
Au 1.369 3.471 6.146
Au 3.214 3.471 1.564
Au 3.311 1.157 8.508
```

Results
Symmetry   P2_1/m, No. 11
Uncorrected energy   -0.112 hartree per atom

=====

Record 6
Computed, not measured: a relaxed CdNiPb2 crystal at the PBE level of DFT.

Structure (extended XYZ):
```
4
Lattice="0.000 3.634 3.634 3.634 0.000 3.634 3.634 3.634 0.000" Properties=species:S:1:pos:R:3 pbc="T T T"
Cd 0.000 0.000 0.000
Ni 1.817 1.817 1.817
Pb 3.634 3.634 3.634
Pb 5.451 5.451 5.451
```

Results
Symmetry   F-43m, No. 216
Energy above the most stable polymorph in this dataset   0.321 eV per atom
Uncorrected energy   -0.114 hartree per atom

=====

- The lowest uncorrected energy belongs to which entry?
  Er2IrRh